No. 1
## BaNaF2 (PBE)

Data for crystalline BaNaF2 at its relaxed geometry.

## Properties
calculated total energy	-18.10	eV/cell
energy above the most stable polymorph in this dataset	0	meV per atom
raw formation energy	-2.7795	eV per atom
space group	R-3m (166)

a = 7.0780 Å, b = 7.0780 Å, c = 7.0780 Å
α = 35.61°, β = 35.61°, γ = 35.61°
Closest atoms and distances in Å follow each position.
Element x y z (fractional)
Ba1 0.5000 0.5000 0.5000  6 F 2.68
F1 0.8821 0.8821 0.8821  1 Na 2.34
F2 0.1179 0.1179 0.1179  1 Na 2.34
Na1 0.0000 0.0000 0.0000  2 F 2.34

No. 2
## TbPm3Pr6Ho2 (PBE)

Data for crystalline TbPm3Pr6Ho2 at its relaxed geometry.

## Properties
DFT formation energy	13	meV per atom
calculated total energy	-56.56	eV/cell
space group	C2/m (12)

a = 6.3492 Å, b = 6.3492 Å, c = 12.0239 Å
α = 95.04°, β = 95.04°, γ = 120.02°
Closest atoms and distances in Å follow each position.
Element x y z (fractional)
Pr1 0.7492 0.7492 0.2467  1 Tb 3.60, 2 Ho 3.61, 6 Pr 3.66-3.67, 3 Pm 3.67
Pr2 0.4164 0.0828 0.2468  2 Ho 3.60-3.61, 1 Tb 3.61, 6 Pr 3.66-3.67, 3 Pm 3.67
Pr3 0.2508 0.2508 0.7533  1 Tb 3.60, 2 Ho 3.61, 6 Pr 3.66-3.67, 3 Pm 3.67
Pr4 0.9172 0.5836 0.7532  2 Ho 3.60-3.61, 1 Tb 3.61, 6 Pr 3.66-3.67, 3 Pm 3.67
Pr5 0.0828 0.4164 0.2468  2 Ho 3.60-3.61, 1 Tb 3.61, 6 Pr 3.66-3.67, 3 Pm 3.67
Pr6 0.5836 0.9172 0.7532  2 Ho 3.60-3.61, 1 Tb 3.61, 6 Pr 3.66-3.67, 3 Pm 3.67
Pm1 0.8333 0.1667 0.5000  6 Pm 3.66-3.67, 6 Pr 3.67
Pm2 0.5000 0.5000 0.5000  6 Pm 3.66-3.67, 6 Pr 3.67
Pm3 0.1667 0.8333 0.5000  6 Pm 3.66-3.67, 6 Pr 3.67
Ho1 0.3333 0.6667 0.0000  6 Pr 3.60-3.61, 3 Tb 3.67, 3 Ho 3.67
Ho2 0.6667 0.3333 0.0000  6 Pr 3.60-3.61, 3 Tb 3.67, 3 Ho 3.67
Tb1 0.0000 0.0000 0.0000  6 Pr 3.60-3.61, 6 Ho 3.67